A geometry-optimized FeSO2 structure, computed with PBE with a Hubbard U.

abc: 6.0271 6.0271 6.0271
angles: 31.02 31.02 31.02
Sites, in units of the cell vectors:
1 Fe 0.0000 0.0000 0.0000
2 S 0.5000 0.5000 0.5000
3 O 0.1119 0.1119 0.1119
4 O 0.8881 0.8881 0.8881

Properties
* density of states at the Fermi level: 2.45 states/eV/f.u.
* symmetry: R-3m (166)
* calculated total energy: -0.1677 hartree per atom